Entry 1:
The following is a DFT calculation (GGA-PBEsol) of Mg2NiH4 after structural relaxation.

abc: 6.301 6.388 12.956
angles: 90.00 90.00 90.00
Element x y z (fractional)
Mg 0.238 0.570 0.487
Mg 0.262 0.570 0.013
Mg 0.250 0.556 0.250
Mg 0.750 0.532 0.250
Mg 0.250 0.468 0.750
Mg 0.750 0.444 0.750
Mg 0.762 0.430 0.513
Mg 0.738 0.430 0.987
Mg 0.238 0.070 0.013
Mg 0.262 0.070 0.487
Mg 0.250 0.056 0.250
Mg 0.750 0.032 0.250
Mg 0.250 0.968 0.750
Mg 0.750 0.944 0.750
Mg 0.762 0.930 0.987
Mg 0.738 0.930 0.513
Ni 0.982 0.695 0.632
Ni 0.518 0.695 0.868
Ni 0.018 0.305 0.368
Ni 0.482 0.305 0.132
Ni 0.982 0.195 0.868
Ni 0.518 0.195 0.632
Ni 0.018 0.805 0.132
Ni 0.482 0.805 0.368
H 0.971 0.766 0.247
H 0.529 0.766 0.253
H 0.029 0.734 0.747
H 0.471 0.734 0.753
H 0.763 0.685 0.874
H 0.737 0.685 0.626
H 0.941 0.657 0.044
H 0.559 0.657 0.456
H 0.939 0.531 0.390
H 0.561 0.531 0.110
H 0.061 0.469 0.610
H 0.439 0.469 0.890
H 0.059 0.343 0.956
H 0.441 0.343 0.544
H 0.237 0.315 0.126
H 0.263 0.315 0.374
H 0.971 0.266 0.253
H 0.529 0.266 0.247
H 0.029 0.234 0.753
H 0.471 0.234 0.747
H 0.763 0.185 0.626
H 0.737 0.185 0.874
H 0.941 0.157 0.456
H 0.559 0.157 0.044
H 0.939 0.031 0.110
H 0.561 0.031 0.390
H 0.061 0.969 0.890
H 0.439 0.969 0.610
H 0.059 0.843 0.544
H 0.441 0.843 0.956
H 0.237 0.815 0.374
H 0.263 0.815 0.126

Calculated values
As for the space group: No. 56. As for the electronic total energy: -3.534 eV per atom.


Entry 2:
The following is a DFT calculation (GGA-PBEsol) of Mg2NiH4 after structural relaxation.

abc: 6.326 6.386 7.707
angles: 110.84 114.23 90.00
Element x y z (fractional)
Mg 0.225 0.921 0.475
Mg 0.750 0.579 0.525
Mg 0.775 0.079 0.525
Mg 0.250 0.421 0.475
Mg 0.016 0.750 0.000
Mg 0.984 0.250 0.000
Mg 0.517 0.750 0.000
Mg 0.483 0.250 0.000
Ni 0.112 0.918 0.762
Ni 0.350 0.582 0.238
Ni 0.888 0.082 0.238
Ni 0.650 0.418 0.762
H 0.100 0.696 0.584
H 0.515 0.804 0.416
H 0.900 0.304 0.416
H 0.485 0.196 0.584
H 0.171 0.128 0.724
H 0.446 0.372 0.276
H 0.829 0.872 0.276
H 0.554 0.628 0.724
H 0.277 0.960 0.989
H 0.288 0.540 0.011
H 0.723 0.040 0.011
H 0.712 0.460 0.989
H 0.863 0.920 0.751
H 0.112 0.580 0.249
H 0.137 0.080 0.249
H 0.888 0.420 0.751

Calculated values
As for the space group: No. 15. As for the electronic total energy: -3.537 eV per atom.


Entry 3:
The following is a DFT calculation (GGA-PBEsol) of SrMgNiH4 after structural relaxation.

abc: 6.815 6.815 6.815
angles: 90.00 90.00 90.00
Element x y z (fractional)
Sr 0.163 0.663 0.837
Sr 0.663 0.837 0.163
Sr 0.837 0.163 0.663
Sr 0.337 0.337 0.337
Mg 0.846 0.346 0.154
Mg 0.346 0.154 0.846
Mg 0.154 0.846 0.346
Mg 0.654 0.654 0.654
Ni 0.441 0.941 0.559
Ni 0.941 0.559 0.441
Ni 0.559 0.441 0.941
Ni 0.059 0.059 0.059
H 0.575 0.075 0.425
H 0.075 0.425 0.575
H 0.425 0.575 0.075
H 0.925 0.925 0.925
H 0.268 0.959 0.080
H 0.920 0.768 0.541
H 0.459 0.420 0.732
H 0.768 0.541 0.920
H 0.420 0.732 0.459
H 0.959 0.080 0.268
H 0.732 0.459 0.420
H 0.080 0.268 0.959
H 0.541 0.920 0.768
H 0.232 0.041 0.580
H 0.580 0.232 0.041
H 0.041 0.580 0.232

Calculated values
As for the space group: No. 198. As for the electronic total energy: -3.734 eV per atom.


Entry 4:
The following is a DFT calculation (GGA-PBEsol) of Mg5H8O9 after structural relaxation.

abc: 3.115 3.115 20.971
angles: 90.00 90.00 120.00
Element x y z (fractional)
Mg 0.000 0.000 0.500
Mg 0.000 0.000 0.718
Mg 0.000 0.000 0.282
Mg 0.667 0.333 0.942
Mg 0.333 0.667 0.058
H 0.333 0.667 0.403
H 0.667 0.333 0.597
H 0.333 0.667 0.846
H 0.667 0.333 0.154
H 0.333 0.667 0.622
H 0.667 0.333 0.378
H 0.667 0.333 0.814
H 0.333 0.667 0.186
O 0.333 0.667 0.450
O 0.667 0.333 0.550
O 0.333 0.667 0.892
O 0.667 0.333 0.108
O 0.000 0.000 0.000
O 0.333 0.667 0.668
O 0.667 0.333 0.332
O 0.667 0.333 0.768
O 0.333 0.667 0.232

Calculated values
As for the space group: No. 164. As for the electronic total energy: -5.571 eV per atom.


Entry 5:
The following is a DFT calculation (GGA-PBEsol) of Mg5H2O6 after structural relaxation.

abc: 3.017 3.017 14.559
angles: 90.00 90.00 120.00
Element x y z (fractional)
H 0.667 0.333 0.526
H 0.333 0.667 0.474
Mg 0.000 0.000 0.000
Mg 0.667 0.333 0.833
Mg 0.333 0.667 0.167
Mg 0.333 0.667 0.666
Mg 0.667 0.333 0.334
O 0.667 0.333 0.593
O 0.333 0.667 0.407
O 0.000 0.000 0.250
O 0.000 0.000 0.750
O 0.667 0.333 0.083
O 0.333 0.667 0.917

Calculated values
As for the space group: No. 164. As for the electronic total energy: -5.938 eV per atom.


Entry 6:
The following is a DFT calculation (GGA-PBEsol) of Mg7P6H4O24 after structural relaxation.

abc: 6.435 7.846 9.457
angles: 104.65 108.53 101.39
Element x y z (fractional)
H 0.173 0.870 0.812
H 0.827 0.130 0.188
H 0.374 0.432 0.568
H 0.626 0.568 0.432
Mg 0.615 0.542 0.890
Mg 0.385 0.458 0.110
Mg 0.000 0.000 0.000
Mg 0.948 0.286 0.485
Mg 0.052 0.714 0.515
Mg 0.722 0.189 0.715
Mg 0.278 0.811 0.285
O 0.018 0.176 0.663
O 0.982 0.824 0.337
O 0.220 0.189 0.945
O 0.780 0.811 0.055
O 0.453 0.244 0.772
O 0.547 0.756 0.228
O 0.199 0.932 0.722
O 0.801 0.068 0.278
O 0.307 0.537 0.914
O 0.693 0.463 0.086
O 0.058 0.545 0.652
O 0.942 0.455 0.348
O 0.112 0.788 0.903
O 0.888 0.212 0.097
O 0.875 0.461 0.836
O 0.125 0.539 0.164
O 0.621 0.210 0.492
O 0.379 0.790 0.508
O 0.481 0.390 0.312
O 0.519 0.610 0.688
O 0.261 0.053 0.240
O 0.739 0.947 0.760
O 0.271 0.303 0.478
O 0.729 0.697 0.522
P 0.226 0.145 0.778
P 0.774 0.855 0.222
P 0.089 0.580 0.827
P 0.911 0.420 0.173
P 0.411 0.235 0.374
P 0.589 0.765 0.626

Calculated values
As for the space group: No. 2. As for the electronic total energy: -6.928 eV per atom.


Entry 7:
The following is a DFT calculation (GGA-PBEsol) of Mg3P2H44O30 after structural relaxation.

abc: 6.913 6.792 15.796
angles: 81.65 89.69 60.02
Element x y z (fractional)
Mg 0.000 0.500 0.000
Mg 0.349 0.243 0.351
Mg 0.651 0.757 0.649
P 0.993 0.964 0.241
P 0.007 0.036 0.759
H 0.285 0.353 0.155
H 0.715 0.647 0.845
H 0.218 0.168 0.140
H 0.782 0.832 0.860
H 0.859 0.811 0.114
H 0.141 0.189 0.886
H 0.754 0.951 0.018
H 0.246 0.049 0.982
H 0.799 0.337 0.111
H 0.201 0.663 0.889
H 0.730 0.329 0.012
H 0.270 0.671 0.988
H 0.176 0.993 0.401
H 0.824 0.007 0.599
H 0.295 0.968 0.494
H 0.705 0.032 0.506
H 0.150 0.668 0.394
H 0.850 0.332 0.606
H 0.245 0.489 0.486
H 0.755 0.511 0.514
H 0.973 0.573 0.260
H 0.027 0.427 0.740
H 0.952 0.346 0.257
H 0.048 0.654 0.743
H 0.579 0.341 0.227
H 0.421 0.659 0.773
H 0.348 0.585 0.225
H 0.652 0.415 0.775
H 0.806 0.062 0.380
H 0.194 0.938 0.620
H 0.657 0.313 0.408
H 0.343 0.687 0.592
H 0.401 0.914 0.256
H 0.599 0.086 0.744
H 0.640 0.909 0.258
H 0.360 0.091 0.742
H 0.522 0.669 0.049
H 0.478 0.331 0.951
H 0.303 0.815 0.102
H 0.697 0.185 0.898
H 0.609 0.684 0.378
H 0.391 0.316 0.622
H 0.850 0.473 0.375
H 0.150 0.527 0.625
O 0.030 0.925 0.341
O 0.970 0.075 0.659
O 0.840 0.227 0.210
O 0.160 0.773 0.790
O 0.879 0.833 0.216
O 0.121 0.167 0.784
O 0.224 0.878 0.202
O 0.776 0.122 0.798
O 0.214 0.309 0.112
O 0.786 0.691 0.888
O 0.849 0.794 0.053
O 0.151 0.206 0.947
O 0.763 0.421 0.049
O 0.237 0.579 0.951
O 0.259 0.048 0.433
O 0.741 0.952 0.567
O 0.233 0.502 0.421
O 0.767 0.498 0.579
O 0.020 0.413 0.293
O 0.980 0.587 0.707
O 0.412 0.413 0.236
O 0.588 0.587 0.764
O 0.659 0.162 0.407
O 0.341 0.838 0.593
O 0.504 0.944 0.291
O 0.496 0.056 0.709
O 0.358 0.791 0.043
O 0.642 0.209 0.957
O 0.714 0.525 0.409
O 0.286 0.475 0.591

Calculated values
As for the space group: No. 2. As for the electronic total energy: -5.377 eV per atom.


Entry 8:
The following is a DFT calculation (GGA-PBEsol) of MgP2H16O10 after structural relaxation.

abc: 10.203 10.203 12.401
angles: 114.29 114.29 90.00
Element x y z (fractional)
Mg 0.000 0.500 0.000
Mg 0.750 0.750 0.500
Mg 0.250 0.250 0.500
Mg 0.500 0.000 0.000
P 0.875 0.366 0.250
P 0.616 0.125 0.750
P 0.134 0.625 0.750
P 0.375 0.884 0.250
P 0.875 0.866 0.250
P 0.116 0.125 0.750
P 0.634 0.625 0.750
P 0.375 0.384 0.250
H 0.493 0.339 0.328
H 0.511 0.665 0.672
H 0.161 0.007 0.672
H 0.257 0.261 0.172
H 0.915 0.911 0.172
H 0.589 0.585 0.828
H 0.239 0.243 0.828
H 0.835 0.989 0.328
H 0.757 0.411 0.172
H 0.739 0.085 0.828
H 0.089 0.743 0.828
H 0.993 0.489 0.328
H 0.335 0.839 0.328
H 0.661 0.165 0.672
H 0.011 0.507 0.672
H 0.415 0.761 0.172
H 0.533 0.232 0.947
H 0.784 0.086 0.053
H 0.268 0.967 0.053
H 0.217 0.534 0.553
H 0.336 0.018 0.553
H 0.482 0.164 0.447
H 0.966 0.283 0.447
H 0.414 0.716 0.947
H 0.717 0.518 0.553
H 0.466 0.664 0.447
H 0.982 0.783 0.447
H 0.033 0.216 0.947
H 0.074 0.688 0.262
H 0.914 0.732 0.947
H 0.284 0.467 0.053
H 0.836 0.034 0.553
H 0.474 0.287 0.060
H 0.727 0.913 0.940
H 0.213 0.026 0.940
H 0.276 0.477 0.440
H 0.163 0.963 0.440
H 0.537 0.337 0.560
H 0.023 0.224 0.560
H 0.587 0.773 0.060
H 0.776 0.463 0.440
H 0.523 0.837 0.560
H 0.037 0.724 0.560
H 0.974 0.273 0.060
H 0.087 0.787 0.060
H 0.713 0.413 0.940
H 0.227 0.526 0.940
H 0.663 0.977 0.440
H 0.563 0.562 0.238
H 0.823 0.824 0.762
H 0.938 0.937 0.762
H 0.187 0.573 0.262
H 0.574 0.073 0.262
H 0.323 0.437 0.762
H 0.438 0.324 0.762
H 0.176 0.062 0.238
H 0.063 0.177 0.238
H 0.312 0.813 0.738
H 0.427 0.926 0.738
H 0.687 0.188 0.262
H 0.676 0.677 0.238
H 0.927 0.313 0.738
H 0.812 0.426 0.738
H 0.768 0.586 0.053
O 0.418 0.420 0.158
O 0.761 0.760 0.842
O 0.080 0.082 0.842
O 0.332 0.511 0.342
O 0.010 0.830 0.342
O 0.670 0.490 0.658
O 0.989 0.168 0.658
O 0.740 0.739 0.158
O 0.832 0.330 0.342
O 0.489 0.990 0.658
O 0.170 0.668 0.658
O 0.918 0.239 0.158
O 0.240 0.920 0.158
O 0.580 0.260 0.842
O 0.261 0.582 0.842
O 0.510 0.011 0.342
O 0.252 0.044 0.492
O 0.052 0.259 0.508
O 0.456 0.248 0.508
O 0.498 0.802 0.008
O 0.509 0.206 0.008
O 0.294 0.991 0.992
O 0.698 0.002 0.992
O 0.241 0.448 0.492
O 0.998 0.706 0.008
O 0.198 0.491 0.992
O 0.794 0.502 0.992
O 0.752 0.948 0.492
O 0.741 0.544 0.492
O 0.956 0.759 0.508
O 0.552 0.748 0.508
O 0.009 0.302 0.008
O 0.353 0.353 0.705
O 0.603 0.103 0.205
O 0.397 0.897 0.795
O 0.147 0.147 0.295
O 0.897 0.397 0.795
O 0.647 0.647 0.295
O 0.853 0.853 0.705
O 0.103 0.603 0.205

Calculated values
As for the space group: No. 142. As for the electronic total energy: -5.274 eV per atom.